[1]
Below is KAlSeN2 after structural relaxation, with properties calculated at the GGA-PBE level.

Output
- N(E_F): 0.6039 states/eV per atom
- Energy relative to the lowest polymorph listed for this composition: 0 meV/atom
- Raw formation energy: 541 meV per atom
- Raw total energy: -4.454 eV per atom

Cell: 4.1605 4.1605 5.1407 Å, 90.00 90.00 90.00°
Last column: nearest neighbours and their distance in Å.
Fractional positions:
K1 0.5000 0.5000 0.5000  4 Se 2.94
Se1 0.0000 0.0000 0.5000  2 Al 2.57
Al1 0.0000 0.0000 0.0000  4 N 2.08
N1 0.0000 0.5000 0.0000  2 Al 2.08
N2 0.5000 0.0000 0.0000  2 Al 2.08

=====

[2]
Below is KAlSe2N after structural relaxation, with properties calculated at the GGA-PBE level.

Output
- N(E_F): 1.6793 states/eV per atom
- Energy relative to the lowest polymorph listed for this composition: 1834 meV/atom
- Raw formation energy: 1725 meV per atom
- Raw total energy: -2.302 eV per atom

Cell: 5.6632 5.6632 4.4766 Å, 90.00 90.00 90.00°
Last column: nearest neighbours and their distance in Å.
Fractional positions:
Se1 0.0000 0.5000 0.0000  2 K 2.83
Se2 0.5000 0.0000 0.0000  2 K 2.83
Al1 0.5000 0.5000 0.5000  8 Se 3.61, 4 N 4.00
N1 0.0000 0.0000 0.5000  2 K 2.24
K1 0.0000 0.0000 0.0000  2 N 2.24

=====

[3]
Below is KAlSeN2 after structural relaxation, with properties calculated at the GGA-PBE level.

Output
- N(E_F): 0.6344 states/eV per atom
- Energy relative to the lowest polymorph listed for this composition: 1507 meV/atom
- Raw formation energy: 2048 meV per atom
- Raw total energy: -2.947 eV per atom

Cell: 4.8716 4.8716 6.3780 Å, 90.00 90.00 90.00°
Last column: nearest neighbours and their distance in Å.
Fractional positions:
N1 0.5000 0.0000 0.0000  2 K 2.44
N2 0.0000 0.5000 0.0000  2 K 2.44
K1 0.0000 0.0000 0.0000  4 N 2.44
Se1 0.0000 0.0000 0.5000  2 K 3.19, 4 Al 3.44
Al1 0.5000 0.5000 0.5000  4 Se 3.44

=====

[4]
Below is KAl2SnN after structural relaxation, with properties calculated at the GGA-PBE level.

Output
- N(E_F): 0.4736 states/eV per atom
- Energy relative to the lowest polymorph listed for this composition: 194 meV/atom
- Raw formation energy: 498 meV per atom
- Raw total energy: -3.685 eV per atom

Cell: 4.3682 5.5042 4.3682 Å, 90.00 90.00 90.00°
Last column: nearest neighbours and their distance in Å.
Fractional positions:
Sn1 0.0000 0.5000 0.0000  2 N 2.75
K1 0.5000 0.5000 0.5000  4 Sn 3.09
Al1 0.5000 0.0000 0.0000  2 N 2.18
Al2 0.0000 0.0000 0.5000  2 N 2.18
N1 0.0000 0.0000 0.0000  4 Al 2.18

=====

[5]
Below is KAl2SnN after structural relaxation, with properties calculated at the GGA-PBE level.

Output
- N(E_F): 0.4549 states/eV per atom
- Energy relative to the lowest polymorph listed for this composition: 0 meV/atom
- Raw formation energy: 303 meV per atom
- Raw total energy: -3.879 eV per atom

Cell: 4.3123 5.1267 4.3123 Å, 90.00 90.00 90.00°
Last column: nearest neighbours and their distance in Å.
Fractional positions:
N1 0.0000 0.0000 0.0000  4 Al 2.16
Al1 0.0000 0.0000 0.5000  2 N 2.16
Al2 0.5000 0.0000 0.0000  2 N 2.16
Sn1 0.5000 0.5000 0.5000  4 K 3.05, 8 Al 3.35
K1 0.0000 0.5000 0.0000  2 N 2.56

=====

[6]
Below is K2SrAlN after structural relaxation, with properties calculated at the GGA-PBE level.

Output
- N(E_F): 0.7468 states/eV per atom
- Raw formation energy: 274 meV per atom
- Raw total energy: -2.915 eV per atom

Cell: 7.1734 3.6599 7.1734 Å, 90.00 90.00 90.00°
Last column: nearest neighbours and their distance in Å.
Fractional positions:
N1 0.0000 0.0000 0.0000  2 Al 1.83
K1 0.0000 0.0000 0.5000  2 N 3.59, 2 K 3.66
K2 0.5000 0.0000 0.0000  2 N 3.59, 2 K 3.66
Al1 0.0000 0.5000 0.0000  2 N 1.83
Sr1 0.5000 0.5000 0.5000  2 Sr 3.66, 8 K 4.03

=====

[7]
Below is KAlTe2N after structural relaxation, with properties calculated at the GGA-PBE level.

Output
- N(E_F): 1.7188 states/eV per atom
- Energy relative to the lowest polymorph listed for this composition: 1798 meV/atom
- Raw formation energy: 1667 meV per atom
- Raw total energy: -2.223 eV per atom

Cell: 6.0318 6.0318 4.5155 Å, 90.00 90.00 90.00°
Last column: nearest neighbours and their distance in Å.
Fractional positions:
Al1 0.5000 0.5000 0.5000  8 Te 3.77
N1 0.0000 0.0000 0.5000  2 K 2.26
K1 0.0000 0.0000 0.0000  2 N 2.26
Te1 0.0000 0.5000 0.0000  2 K 3.02
Te2 0.5000 0.0000 0.0000  2 K 3.02

=====

[8]
Below is KAlTe2N after structural relaxation, with properties calculated at the GGA-PBE level.

Output
- N(E_F): 0.9699 states/eV per atom
- Energy relative to the lowest polymorph listed for this composition: 0 meV/atom
- Raw formation energy: -131 meV per atom
- Raw total energy: -4.021 eV per atom

Cell: 6.1311 6.1311 3.4712 Å, 90.00 90.00 90.00°
Last column: nearest neighbours and their distance in Å.
Fractional positions:
Te1 0.0000 0.5000 0.0000  2 Al 3.07
Te2 0.5000 0.0000 0.0000  2 Al 3.07
Al1 0.0000 0.0000 0.0000  2 N 1.74
K1 0.5000 0.5000 0.5000  2 K 3.47, 8 Te 3.52
N1 0.0000 0.0000 0.5000  2 Al 1.74

=====

[9]
Below is KAlTeN2 after structural relaxation, with properties calculated at the GGA-PBE level.

Output
- N(E_F): 0.5429 states/eV per atom
- Energy relative to the lowest polymorph listed for this composition: 0 meV/atom
- Raw formation energy: 777 meV per atom
- Raw total energy: -4.150 eV per atom

Cell: 4.2713 4.2713 5.5686 Å, 90.00 90.00 90.00°
Last column: nearest neighbours and their distance in Å.
Fractional positions:
Al1 0.0000 0.0000 0.0000  4 N 2.14
K1 0.5000 0.5000 0.5000  4 Te 3.02
Te1 0.0000 0.0000 0.5000  2 Al 2.78, 4 K 3.02
N1 0.5000 0.0000 0.0000  2 Al 2.14
N2 0.0000 0.5000 0.0000  2 Al 2.14

=====

[10]
Below is KAlTeN2 after structural relaxation, with properties calculated at the GGA-PBE level.

Output
- N(E_F): 0.6950 states/eV per atom
- Energy relative to the lowest polymorph listed for this composition: 1222 meV/atom
- Raw formation energy: 1998 meV per atom
- Raw total energy: -2.928 eV per atom

Cell: 4.8550 4.8550 6.9531 Å, 90.00 90.00 90.00°
Last column: nearest neighbours and their distance in Å.
Fractional positions:
Te1 0.0000 0.0000 0.5000  4 Al 3.43, 2 K 3.48
Al1 0.5000 0.5000 0.5000  4 Te 3.43
N1 0.0000 0.5000 0.0000  2 K 2.43
N2 0.5000 0.0000 0.0000  2 K 2.43
K1 0.0000 0.0000 0.0000  4 N 2.43

=====

[11]
Below is KNaAl4 after structural relaxation, with properties calculated at the GGA-PBE level.

Output
- N(E_F): 0.6045 states/eV per atom
- Formation energy: 0.14 eV per atom
- Raw total energy: -2.762 eV per atom

Cell: 5.7950 5.7950 5.7950 Å, 60.00 60.00 60.00°
Last column: nearest neighbours and their distance in Å.
Fractional positions:
Na1 0.0000 0.0000 0.0000  12 Al 3.40, 4 K 3.55
Al1 0.6248 0.6248 0.1257  6 Al 2.89-2.90
Al2 0.6248 0.6248 0.6248  6 Al 2.89-2.90
Al3 0.1257 0.6248 0.6248  6 Al 2.89-2.90
Al4 0.6248 0.1257 0.6248  6 Al 2.89-2.90
K1 0.2500 0.2500 0.2500  12 Al 3.40, 4 Na 3.55

=====

[12]
Below is KNa3Al after structural relaxation, with properties calculated at the GGA-PBE level.

Output
- N(E_F): 0.5100 states/eV per atom
- Energy relative to the lowest polymorph listed for this composition: 0 meV/atom
- Formation energy: 0.21 eV per atom
- Raw total energy: -1.554 eV per atom

Cell: 5.9834 5.9834 5.9834 Å, 90.00 90.00 90.00°
Last column: nearest neighbours and their distance in Å.
Fractional positions:
Na1 0.5000 0.0000 0.0000  2 Al 2.99
Na2 0.0000 0.0000 0.5000  2 Al 2.99
Na3 0.0000 0.5000 0.0000  2 Al 2.99
K1 0.5000 0.5000 0.5000  12 Na 4.23
Al1 0.0000 0.0000 0.0000  6 Na 2.99

=====

[13]
Below is K3NaAl after structural relaxation, with properties calculated at the GGA-PBE level.

Output
- N(E_F): 1.2126 states/eV per atom
- Energy relative to the lowest polymorph listed for this composition: 0 meV/atom
- Formation energy: 0.34 eV per atom
- Raw total energy: -1.326 eV per atom

Cell: 6.7505 6.7505 6.7505 Å, 90.00 90.00 90.00°
Last column: nearest neighbours and their distance in Å.
Fractional positions:
Al1 0.0000 0.0000 0.0000  6 K 3.38
K1 0.5000 0.0000 0.0000  2 Al 3.38
K2 0.0000 0.0000 0.5000  2 Al 3.38
K3 0.0000 0.5000 0.0000  2 Al 3.38
Na1 0.5000 0.5000 0.5000  12 K 4.77

=====

[14]
Below is KNaAl3 after structural relaxation, with properties calculated at the GGA-PBE level.

Output
- N(E_F): 0.6255 states/eV per atom
- Energy relative to the lowest polymorph listed for this composition: 0 meV/atom
- Formation energy: 0.81 eV per atom
- Raw total energy: -1.914 eV per atom

Cell: 5.4474 5.4474 5.4474 Å, 90.00 90.00 90.00°
Last column: nearest neighbours and their distance in Å.
Fractional positions:
Al1 0.0000 0.5000 0.0000  2 Na 2.72
Al2 0.0000 0.0000 0.5000  2 Na 2.72
Al3 0.5000 0.0000 0.0000  2 Na 2.72
Na1 0.0000 0.0000 0.0000  6 Al 2.72
K1 0.5000 0.5000 0.5000  12 Al 3.85